Record 1
A relaxed structure of AcCe2PmS4, computed with PBE.

Results
crystal system	monoclinic
symmetry	P2/m, No. 10
energy relative to the elements, uncorrected	-2.011	eV/atom

a b c (Å): 7.118 4.093 7.120
angles (deg): 90.00 109.29 90.00
Atoms (fractional coordinates):
Ac: 0.000 0.000 0.000
Ce: 0.000 0.500 0.500
Ce: 0.500 0.000 0.500
Pm: 0.500 0.500 0.000
S: 0.257 0.000 0.745
S: 0.263 0.500 0.262
S: 0.737 0.500 0.738
S: 0.743 0.000 0.255


Record 2
A relaxed structure of Pm2Al3, computed with PBE.

Results
crystal system	orthorhombic
symmetry	Cmce, No. 64
calculated formation energy	-422	meV per atom

a b c (Å): 6.019 6.019 8.094
angles (deg): 90.00 90.00 124.61
Atoms (fractional coordinates):
Pm: 0.157 0.843 0.902
Pm: 0.343 0.657 0.402
Pm: 0.657 0.343 0.598
Pm: 0.843 0.157 0.098
Al: 0.000 0.000 0.500
Al: 0.152 0.348 0.750
Al: 0.348 0.152 0.250
Al: 0.500 0.500 0.000
Al: 0.652 0.848 0.750
Al: 0.848 0.652 0.250